No. 1
# OsRuRh (PBEsol, optimized geometry)
data_OsRuRh
_chemical_formula_sum 'Os1 Ru1 Rh1'
_space_group_name_H-M_alt 'P 1'
_space_group_IT_number 1
_space_group_name_Hall 'P 1'
_cell_length_a 2.682
_cell_length_b 2.682
_cell_length_c 5.995
_cell_angle_alpha 102.93
_cell_angle_beta 102.93
_cell_angle_gamma 90.00
loop_
_atom_site_label
_atom_site_type_symbol
_atom_site_fract_x
_atom_site_fract_y
_atom_site_fract_z
_atom_site_occupancy
Rh1 Rh 0.334 0.334 0.668 1
Ru1 Ru 0.663 0.663 0.327 1
Os1 Os 0.003 0.003 0.005 1
# ΔE_f: 56 meV/atom
# symmetry: I4mm (107)
# magnetic moment: 0.0 Bohr magnetons per cell
# calculated total energy: -30.36 eV/cell
# DOS at the Fermi energy: 1.027 states/eV/atom

---

No. 2
# Li3Fe4WO8 (PBEsol, optimized geometry)
data_Li3Fe4WO8
_chemical_formula_sum 'Li3 Fe4 W1 O8'
_space_group_name_H-M_alt 'P 1'
_space_group_IT_number 1
_space_group_name_Hall 'P 1'
_cell_length_a 5.832
_cell_length_b 5.941
_cell_length_c 5.941
_cell_angle_alpha 59.92
_cell_angle_beta 88.57
_cell_angle_gamma 118.90
loop_
_atom_site_label
_atom_site_type_symbol
_atom_site_fract_x
_atom_site_fract_y
_atom_site_fract_z
_atom_site_occupancy
O1 O 0.767 0.018 0.733 1
O2 O 0.242 0.499 0.258 1
O3 O 0.233 0.500 0.749 1
O4 O 0.758 0.501 0.742 1
O5 O 0.767 0.500 0.251 1
O6 O 0.233 0.982 0.267 1
O7 O 0.744 0.994 0.251 1
O8 O 0.256 0.006 0.749 1
Li1 Li 0.000 0.500 0.000 1
Li2 Li 0.000 0.000 0.500 1
Li3 Li 0.500 0.500 0.000 1
W1 W 0.000 0.500 0.500 1
Fe1 Fe 0.500 0.500 0.500 1
Fe2 Fe 0.000 0.000 0.000 1
Fe3 Fe 0.500 0.000 0.000 1
Fe4 Fe 0.500 0.000 0.500 1
# formation energy without anion corrections: -1.464 eV per atom
# symmetry: C2/m (12)
# magnetic moment: 14.9 Bohr magnetons per cell
# calculated total energy: -120.98 eV/cell
# DOS at the Fermi energy: 0.432 states/eV/atom

---

No. 3
# TlPBrO2 (PBEsol, optimized geometry)
data_TlPBrO2
_chemical_formula_sum 'Tl1 P1 Br1 O2'
_space_group_name_H-M_alt 'P 1'
_space_group_IT_number 1
_space_group_name_Hall 'P 1'
_cell_length_a 3.955
_cell_length_b 3.955
_cell_length_c 5.066
_cell_angle_alpha 90.00
_cell_angle_beta 90.00
_cell_angle_gamma 90.00
loop_
_atom_site_label
_atom_site_type_symbol
_atom_site_fract_x
_atom_site_fract_y
_atom_site_fract_z
_atom_site_occupancy
P1 P 0.000 0.000 0.500 1
O1 O 0.500 0.000 0.000 1
O2 O 0.000 0.500 0.000 1
Tl1 Tl 0.500 0.500 0.500 1
Br1 Br 0.000 0.000 0.000 1
# formation energy without anion corrections: 0.463 eV per atom
# symmetry: P4/mmm (123)
# magnetic moment: 0.0 Bohr magnetons per cell
# calculated total energy: -18.47 eV/cell
# DOS at the Fermi energy: 0.390 states/eV/atom

---

No. 4
# Ba2SrAl (PBEsol, optimized geometry)
data_Ba2SrAl
_chemical_formula_sum 'Ba2 Sr1 Al1'
_space_group_name_H-M_alt 'P 1'
_space_group_IT_number 1
_space_group_name_Hall 'P 1'
_cell_length_a 4.144
_cell_length_b 6.235
_cell_length_c 7.727
_cell_angle_alpha 113.80
_cell_angle_beta 105.55
_cell_angle_gamma 90.00
loop_
_atom_site_label
_atom_site_type_symbol
_atom_site_fract_x
_atom_site_fract_y
_atom_site_fract_z
_atom_site_occupancy
Sr1 Sr 0.556 0.556 0.112 1
Ba1 Ba 0.946 0.946 0.892 1
Ba2 Ba 0.753 0.253 0.506 1
Al1 Al 0.245 0.745 0.490 1
# ΔE_f: -5 meV/atom
# symmetry: Imm2 (44)
# magnetic moment: 0.0 Bohr magnetons per cell
# calculated total energy: -10.25 eV/cell
# DOS at the Fermi energy: 1.019 states/eV/atom

---

No. 5
# ZrBeRe (PBEsol, optimized geometry)
data_ZrBeRe
_chemical_formula_sum 'Zr1 Be1 Re1'
_space_group_name_H-M_alt 'P 1'
_space_group_IT_number 1
_space_group_name_Hall 'P 1'
_cell_length_a 4.040
_cell_length_b 4.040
_cell_length_c 4.040
_cell_angle_alpha 60.00
_cell_angle_beta 60.00
_cell_angle_gamma 60.00
loop_
_atom_site_label
_atom_site_type_symbol
_atom_site_fract_x
_atom_site_fract_y
_atom_site_fract_z
_atom_site_occupancy
Zr1 Zr 0.500 0.500 0.500 1
Re1 Re 0.000 0.000 0.000 1
Be1 Be 0.250 0.250 0.250 1
# ΔE_f: 254 meV/atom
# symmetry: F-43m (216)
# magnetic moment: 0.0 Bohr magnetons per cell
# calculated total energy: -25.66 eV/cell
# DOS at the Fermi energy: 0.808 states/eV/atom

---

No. 6
# ScTl2Br (PBEsol, optimized geometry)
data_ScTl2Br
_chemical_formula_sum 'Sc1 Tl2 Br1'
_space_group_name_H-M_alt 'P 1'
_space_group_IT_number 1
_space_group_name_Hall 'P 1'
_cell_length_a 3.243
_cell_length_b 4.510
_cell_length_c 7.710
_cell_angle_alpha 107.01
_cell_angle_beta 102.14
_cell_angle_gamma 90.00
loop_
_atom_site_label
_atom_site_type_symbol
_atom_site_fract_x
_atom_site_fract_y
_atom_site_fract_z
_atom_site_occupancy
Br1 Br 0.000 0.500 0.000 1
Sc1 Sc 0.500 0.000 0.000 1
Tl1 Tl 0.810 0.810 0.620 1
Tl2 Tl 0.190 0.190 0.380 1
# formation energy without anion corrections: -0.400 eV per atom
# symmetry: Immm (71)
# magnetic moment: 0.0 Bohr magnetons per cell
# calculated total energy: -15.33 eV/cell
# DOS at the Fermi energy: 0.717 states/eV/atom

---

No. 7
# BaAs (PBEsol, optimized geometry)
data_BaAs
_chemical_formula_sum 'Ba2 As2'
_space_group_name_H-M_alt 'P 1'
_space_group_IT_number 1
_space_group_name_Hall 'P 1'
_cell_length_a 4.548
_cell_length_b 5.013
_cell_length_c 6.188
_cell_angle_alpha 97.94
_cell_angle_beta 111.56
_cell_angle_gamma 90.00
loop_
_atom_site_label
_atom_site_type_symbol
_atom_site_fract_x
_atom_site_fract_y
_atom_site_fract_z
_atom_site_occupancy
Ba1 Ba 0.127 0.229 0.255 1
Ba2 Ba 0.873 0.771 0.745 1
As1 As 0.412 0.322 0.824 1
As2 As 0.588 0.678 0.176 1
# ΔE_f: -1005 meV/atom
# symmetry: C2/m (12)
# magnetic moment: 0.0 Bohr magnetons per cell
# calculated total energy: -18.53 eV/cell
# DOS at the Fermi energy: 0.075 states/eV/atom

---

No. 8
# BaHf2SnRu (PBEsol, optimized geometry)
data_BaHf2SnRu
_chemical_formula_sum 'Ba1 Hf2 Sn1 Ru1'
_space_group_name_H-M_alt 'P 1'
_space_group_IT_number 1
_space_group_name_Hall 'P 1'
_cell_length_a 4.933
_cell_length_b 5.338
_cell_length_c 5.338
_cell_angle_alpha 90.00
_cell_angle_beta 90.00
_cell_angle_gamma 90.00
loop_
_atom_site_label
_atom_site_type_symbol
_atom_site_fract_x
_atom_site_fract_y
_atom_site_fract_z
_atom_site_occupancy
Ba1 Ba 0.500 0.500 0.500 1
Ru1 Ru 0.500 0.000 0.000 1
Hf1 Hf 0.000 0.500 0.000 1
Hf2 Hf 0.000 0.000 0.500 1
Sn1 Sn 0.000 0.000 0.000 1
# ΔE_f: 1071 meV/atom
# symmetry: P4/mmm (123)
# magnetic moment: 0.0 Bohr magnetons per cell
# calculated total energy: -32.23 eV/cell
# DOS at the Fermi energy: 1.508 states/eV/atom

---

No. 9
# Y2CuTe (PBEsol, optimized geometry)
data_Y2CuTe
_chemical_formula_sum 'Y2 Cu1 Te1'
_space_group_name_H-M_alt 'P 1'
_space_group_IT_number 1
_space_group_name_Hall 'P 1'
_cell_length_a 4.160
_cell_length_b 4.160
_cell_length_c 5.940
_cell_angle_alpha 90.00
_cell_angle_beta 90.00
_cell_angle_gamma 90.00
loop_
_atom_site_label
_atom_site_type_symbol
_atom_site_fract_x
_atom_site_fract_y
_atom_site_fract_z
_atom_site_occupancy
Cu1 Cu 0.000 0.000 0.375 1
Y1 Y 0.500 0.500 0.374 1
Y2 Y 0.000 0.000 0.876 1
Te1 Te 0.500 0.500 0.874 1
# formation energy without anion corrections: -0.623 eV per atom
# symmetry: P4mm (99)
# magnetic moment: 0.0 Bohr magnetons per cell
# calculated total energy: -24.00 eV/cell
# DOS at the Fermi energy: 0.866 states/eV/atom

---

No. 10
# MgSc5 (PBEsol, optimized geometry)
data_MgSc5
_chemical_formula_sum 'Mg1 Sc5'
_space_group_name_H-M_alt 'P 1'
_space_group_IT_number 1
_space_group_name_Hall 'P 1'
_cell_length_a 3.248
_cell_length_b 5.130
_cell_length_c 8.604
_cell_angle_alpha 90.00
_cell_angle_beta 100.88
_cell_angle_gamma 90.00
loop_
_atom_site_label
_atom_site_type_symbol
_atom_site_fract_x
_atom_site_fract_y
_atom_site_fract_z
_atom_site_occupancy
Sc1 Sc 0.777 0.500 0.554 1
Sc2 Sc 0.330 0.000 0.660 1
Sc3 Sc 0.667 0.000 0.334 1
Sc4 Sc 0.446 0.500 0.892 1
Sc5 Sc 0.112 0.500 0.223 1
Mg1 Mg 0.001 0.000 0.003 1
# ΔE_f: 21 meV/atom
# symmetry: Amm2 (38)
# magnetic moment: 1.2 Bohr magnetons per cell
# calculated total energy: -34.62 eV/cell
# DOS at the Fermi energy: 1.749 states/eV/atom

---

No. 11
# Tb2Nb2O7 (PBEsol, optimized geometry)
data_Tb2Nb2O7
_chemical_formula_sum 'Tb4 Nb4 O14'
_space_group_name_H-M_alt 'P 1'
_space_group_IT_number 1
_space_group_name_Hall 'P 1'
_cell_length_a 7.270
_cell_length_b 7.270
_cell_length_c 7.270
_cell_angle_alpha 60.00
_cell_angle_beta 60.00
_cell_angle_gamma 60.00
loop_
_atom_site_label
_atom_site_type_symbol
_atom_site_fract_x
_atom_site_fract_y
_atom_site_fract_z
_atom_site_occupancy
O1 O 0.779 0.221 0.779 1
O2 O 0.779 0.779 0.221 1
O3 O 0.029 0.471 0.029 1
O4 O 0.471 0.029 0.029 1
O5 O 0.750 0.750 0.750 1
O6 O 0.471 0.029 0.471 1
O7 O 0.500 0.500 0.500 1
O8 O 0.221 0.221 0.779 1
O9 O 0.221 0.779 0.779 1
O10 O 0.029 0.471 0.471 1
O11 O 0.779 0.221 0.221 1
O12 O 0.029 0.029 0.471 1
O13 O 0.221 0.779 0.221 1
O14 O 0.471 0.471 0.029 1
Tb1 Tb 0.625 0.625 0.625 1
Tb2 Tb 0.125 0.625 0.625 1
Tb3 Tb 0.625 0.125 0.625 1
Tb4 Tb 0.625 0.625 0.125 1
Nb1 Nb 0.625 0.125 0.125 1
Nb2 Nb 0.125 0.125 0.625 1
Nb3 Nb 0.125 0.625 0.125 1
Nb4 Nb 0.125 0.125 0.125 1
# formation energy without anion corrections: -2.988 eV per atom
# symmetry: Fd-3m (227)
# magnetic moment: 0.6 Bohr magnetons per cell
# calculated total energy: -202.54 eV/cell
# DOS at the Fermi energy: 0.402 states/eV/atom

---

No. 12
# Li2Sn3P4O14 (PBEsol, optimized geometry)
data_Li2Sn3P4O14
_chemical_formula_sum 'Li2 Sn3 P4 O14'
_space_group_name_H-M_alt 'P 1'
_space_group_IT_number 1
_space_group_name_Hall 'P 1'
_cell_length_a 6.229
_cell_length_b 7.420
_cell_length_c 7.831
_cell_angle_alpha 103.27
_cell_angle_beta 97.30
_cell_angle_gamma 114.09
loop_
_atom_site_label
_atom_site_type_symbol
_atom_site_fract_x
_atom_site_fract_y
_atom_site_fract_z
_atom_site_occupancy
O1 O 0.582 0.720 0.867 1
O2 O 0.935 0.920 0.277 1
O3 O 0.065 0.080 0.723 1
O4 O 0.840 0.547 0.147 1
O5 O 0.239 0.823 0.873 1
O6 O 0.862 0.243 0.546 1
O7 O 0.160 0.453 0.853 1
O8 O 0.688 0.657 0.423 1
O9 O 0.761 0.177 0.127 1
O10 O 0.403 0.740 0.143 1
O11 O 0.312 0.343 0.577 1
O12 O 0.138 0.757 0.454 1
O13 O 0.418 0.280 0.133 1
O14 O 0.597 0.260 0.857 1
P1 P 0.355 0.697 0.937 1
P2 P 0.094 0.268 0.663 1
P3 P 0.906 0.732 0.337 1
P4 P 0.645 0.303 0.063 1
Li1 Li 0.706 0.032 0.305 1
Li2 Li 0.294 0.968 0.695 1
Sn1 Sn 0.706 0.487 0.698 1
Sn2 Sn 0.000 0.000 0.000 1
Sn3 Sn 0.294 0.513 0.302 1
# formation energy without anion corrections: -2.014 eV per atom
# symmetry: P-1 (2)
# magnetic moment: 0.0 Bohr magnetons per cell
# calculated total energy: -159.68 eV/cell
# DOS at the Fermi energy: 0.000 states/eV/atom